[1]
A plane-wave DFT calculation with PBE was carried out for a geometry-optimized NdPuCd2 structure.

```
4
Lattice="-0.482 -5.127 -1.653 0.204 -4.032 3.599 -4.471 -2.809 1.170" Properties=species:S:1:pos:R:3 pbc="T T T"
Pu 0.000 0.000 0.000
Cd -1.187 -2.992 0.779
Nd -2.375 -5.984 1.558
Cd -3.562 -8.976 2.337
```

Offset from the most stable computed form, kJ per mole of atoms: 1.96
Magnetic moment, Bohr magnetons per cell: 6.341
Formation energy from the elements, meV/atom: -110
Crystal system: cubic

***

[2]
A plane-wave DFT calculation with PBE was carried out for a geometry-optimized La6Tb2SmTh structure.

```
20
Lattice="8.854 -1.559 -1.618 1.015 9.032 -2.052 1.015 -2.385 8.950" Properties=species:S:1:pos:R:3 pbc="T T T"
La 3.249 -1.205 3.558
La 6.525 1.382 4.529
Tb 5.431 4.786 3.950
La 8.786 -0.166 2.922
Tb 5.453 0.301 1.330
La 2.098 5.254 2.358
La 3.207 2.267 7.161
La 4.358 3.705 0.751
Sm 7.655 -2.998 7.200
La 7.634 6.292 1.722
La 4.950 -0.855 6.974
La 9.377 6.221 -1.405
Sm 3.228 8.085 -1.920
La 5.934 5.942 -1.694
La 1.507 -1.134 6.685
Tb 1.026 2.097 1.160
Tb 9.858 2.990 4.120
La 7.676 2.821 -1.881
Th 3.228 2.156 3.794
Th 7.655 2.932 1.486
```

Magnetic moment, Bohr magnetons per cell: 0.000
Formation energy from the elements, meV/atom: 134
Crystal system: monoclinic

***

[3]
A plane-wave DFT calculation with PBE was carried out for a geometry-optimized AlGaHg2Se structure.

```
5
Lattice="-0.962 -2.915 4.145 3.350 -3.471 -1.664 3.770 2.407 2.568" Properties=species:S:1:pos:R:3 pbc="T T T"
Hg 1.885 1.203 1.284
Ga 1.675 -1.736 -0.832
Se 3.079 -1.990 2.524
Al 0.000 0.000 0.000
Hg -0.481 -1.458 2.072
```

Magnetic moment, Bohr magnetons per cell: 0.000
Crystal system: tetragonal
Formation energy from raw total energies, eV/f.u.: 1.3

***

[4]
A plane-wave DFT calculation with PBE was carried out for a geometry-optimized TaPH2N structure.

```
5
Lattice="-2.748 1.919 1.364 -1.708 0.182 -3.697 -1.801 -3.064 0.681" Properties=species:S:1:pos:R:3 pbc="T T T"
P -3.129 -0.481 -0.826
H -0.901 -1.532 0.340
N -0.854 0.091 -1.849
H -1.374 0.959 0.682
Ta 0.000 0.000 0.000
```

Magnetic moment, Bohr magnetons per cell: 0.000
Crystal system: tetragonal
Total energy, eV per atom: -5.9788

***

[5]
A plane-wave DFT calculation with PBE was carried out for a geometry-optimized CeNpP structure.

```
3
Lattice="-2.647 2.635 0.648 -2.174 -2.601 1.695 4.339 0.948 2.783" Properties=species:S:1:pos:R:3 pbc="T T T"
P 0.019 0.009 0.038
Ce 1.353 0.677 2.775
Np -1.854 0.295 2.313
```

Magnetic moment, Bohr magnetons per cell: 5.434
Formation energy from the elements, meV/atom: -544
Crystal system: tetragonal

***

[6]
A plane-wave DFT calculation with PBE was carried out for a geometry-optimized Pb2WSe structure.

```
4
Lattice="-0.513 -1.780 2.352 2.719 1.100 0.599 -4.700 8.620 5.499" Properties=species:S:1:pos:R:3 pbc="T T T"
Pb -2.510 4.604 2.937
W -2.422 6.125 5.600
Pb -4.540 8.326 5.312
Se -0.072 1.815 2.850
```

Magnetic moment, Bohr magnetons per cell: 0.000
Crystal system: orthorhombic
Formation energy from raw total energies, eV/f.u.: 2.7

***

[7]
A plane-wave DFT calculation with PBE was carried out for a geometry-optimized Cd2CuPb structure.

```
4
Lattice="-0.285 0.256 6.184 -1.166 -5.090 3.335 3.580 3.162 -3.946" Properties=species:S:1:pos:R:3 pbc="T T T"
Pb 0.845 -2.173 2.074
Cd -1.394 -4.648 9.152
Cd -0.781 -2.604 5.127
Cu 1.285 0.500 3.499
```

Magnetic moment, Bohr magnetons per cell: 0.000
Formation energy from the elements, meV/atom: 133
Crystal system: orthorhombic

***

[8]
A plane-wave DFT calculation with PBE was carried out for a geometry-optimized PrDyAu structure.

```
3
Lattice="5.077 0.000 0.000 2.539 4.397 0.000 2.539 1.466 4.145" Properties=species:S:1:pos:R:3 pbc="T T T"
Pr 5.077 2.931 2.073
Dy 0.000 0.000 0.000
Au 2.539 1.466 1.036
```

Offset from the most stable computed form, kJ per mole of atoms: 19.64
Magnetic moment, Bohr magnetons per cell: 0.000
Formation energy from the elements, meV/atom: -386
Crystal system: cubic

***

[9]
A plane-wave DFT calculation with PBE was carried out for a geometry-optimized Zr4CdCu structure.

```
6
Lattice="3.173 0.000 0.000 0.000 3.173 0.000 0.000 0.000 12.570" Properties=species:S:1:pos:R:3 pbc="T T T"
Zr 1.586 1.586 10.279
Zr 0.000 0.000 4.518
Cu 1.586 1.586 6.285
Zr 1.586 1.586 2.291
Cd 0.000 0.000 0.000
Zr 0.000 0.000 8.052
```

Offset from the most stable computed form, kJ per mole of atoms: 0.00
Magnetic moment, Bohr magnetons per cell: 0.000
Formation energy from the elements, meV/atom: -125
Crystal system: tetragonal

***

[10]
A plane-wave DFT calculation with PBE was carried out for a geometry-optimized Mn2HgCl8 structure.

```
11
Lattice="-2.688 2.399 -1.487 -0.035 -2.160 -7.894 -5.107 -9.284 2.919" Properties=species:S:1:pos:R:3 pbc="T T T"
Hg -1.344 1.200 -0.744
Cl -1.753 -4.830 -6.073
Cl -0.666 -0.847 -1.624
Cl -2.995 -1.833 -4.709
Cl -4.572 -5.053 -4.544
Mn -2.412 -4.229 -4.100
Mn -5.418 -4.817 -2.361
Cl -7.163 -8.199 -4.838
Cl -4.834 -7.212 -1.753
Cl -3.258 -3.992 -1.917
Cl -6.076 -4.216 -0.389
```

Offset from the most stable computed form, kJ per mole of atoms: 0.00
Magnetic moment, Bohr magnetons per cell: 7.995
Crystal system: triclinic
Formation energy from raw total energies, eV/f.u.: -9.1

***

[11]
A plane-wave DFT calculation with PBE was carried out for a geometry-optimized Tm2MgInRh4 structure.

```
8
Lattice="-2.539 3.877 -0.185 -4.612 -0.225 0.437 -1.712 2.015 7.578" Properties=species:S:1:pos:R:3 pbc="T T T"
Tm -2.217 1.415 1.942
In -4.431 2.833 3.915
Rh -6.900 3.950 3.049
Mg 0.000 0.000 0.000
Rh -4.179 3.134 6.735
Rh -4.684 2.533 1.095
Tm -6.646 4.252 5.888
Rh -1.963 1.717 4.781
```

Magnetic moment, Bohr magnetons per cell: 0.000
Formation energy from the elements, meV/atom: -791
Crystal system: trigonal

***

[12]
A plane-wave DFT calculation with PBE was carried out for a geometry-optimized KTl3InHg structure.

```
12
Lattice="-1.111 -0.016 -5.366 4.493 -4.338 1.880 -8.324 -7.864 1.747" Properties=species:S:1:pos:R:3 pbc="T T T"
Tl -5.403 -10.559 1.150
Tl -1.757 -7.115 0.385
K -0.613 -3.586 0.138
In 0.000 0.000 0.000
Tl -5.231 -7.015 1.104
K -4.329 -8.631 -1.876
Tl 0.460 -1.658 -2.888
In -4.162 -3.932 0.873
Hg -6.762 -5.946 -1.380
Tl -3.185 -5.102 -2.123
Hg 1.820 -6.272 -0.358
Tl 0.288 -5.202 -2.842
```

Magnetic moment, Bohr magnetons per cell: 0.000
Formation energy from the elements, meV/atom: -38
Crystal system: orthorhombic